Compound: LiTiS2
Source: Alexandria via LeMat-Bulk
Functional: PBEsol
Structure: relaxed

```
4
Lattice="-1.898 0.724 2.706 1.971 -2.751 0.003 4.627 3.317 2.358" Properties=species:S:1:pos:R:3 pbc="T T T"
S 1.784 -0.802 1.466
S 2.916 2.092 3.601
Ti 0.000 0.000 0.000
Li 2.313 1.658 1.179
```

## Properties
- volume (Å³/f.u.) = 61
- formation energy without anion corrections (eV/f.u.) = -6.0
- N(E_F) (states/eV per atom) = 0.4798
- calculated total energy (eV/cell) = -25.0
- total magnetization (μB per formula unit) = 0.00